No. 1
Compound: Si2AuCl
Source: the Alexandria database
Functional: PBE
Structure: relaxed

Properties
Total energy in eV per atom: -4.13
Energy relative to the lowest polymorph listed for this composition in eV per atom: 0.153
Volume in Å³ per atom: 21.74
Symmetry: P1 (1)

Lattice parameters (Å, degrees): 3.434 5.571 9.269 93.21 100.67 90.39
Positions (direct):
Si (0.000, 0.000, 0.000)
Si (0.129, 0.933, 0.259)
Si (0.319, 0.208, 0.634)
Si (0.453, 0.242, 0.901)
Au (0.456, 0.691, 0.919)
Au (0.725, 0.061, 0.448)
Cl (0.119, 0.555, 0.245)
Cl (0.306, 0.582, 0.600)


No. 2
Compound: Si2AuCl
Source: the Alexandria database
Functional: PBE
Structure: relaxed

Properties
Total energy in eV per atom: -3.57
Energy relative to the lowest polymorph listed for this composition in eV per atom: 0.722
Volume in Å³ per atom: 19.22
Symmetry: Immm (71)

Lattice parameters (Å, degrees): 5.283 5.283 5.283 144.16 114.44 77.03
Positions (direct):
Si (0.241, 0.241, 0.000)
Si (0.759, 0.759, 0.000)
Au (0.000, 0.500, 0.500)
Cl (0.500, 0.000, 0.500)


No. 3
Compound: Si2AuCl
Source: the Alexandria database
Functional: PBE
Structure: relaxed

Properties
Total energy in eV per atom: -4.29
Energy relative to the lowest polymorph listed for this composition in eV per atom: 0.000
Volume in Å³ per atom: 25.76
Symmetry: C2/m (12)

Lattice parameters (Å, degrees): 11.500 11.500 5.427 90.66 90.66 16.68
Positions (direct):
Si (0.049, 0.049, 0.434)
Si (0.104, 0.104, 0.803)
Si (0.896, 0.896, 0.197)
Si (0.951, 0.951, 0.566)
Au (0.425, 0.425, 0.886)
Au (0.575, 0.575, 0.114)
Cl (0.193, 0.193, 0.736)
Cl (0.807, 0.807, 0.264)